# Pr2ScGe4Pd3, optimized geometry, DFT PBE
# Final energy ... -58.3 eV per cell
# Size of the total moment ... 0.00 Bohr magnetons per cell
# Theoretical density ... 7.6 g/cm3
data_Pr2ScGe4Pd3
_symmetry_space_group_name_H-M 'P -4 m 2'
_symmetry_Int_Tables_number 115
_cell_length_a 4.277
_cell_length_b 4.277
_cell_length_c 11.142
_cell_angle_alpha 90.00
_cell_angle_beta 90.00
_cell_angle_gamma 90.00
loop_
_symmetry_equiv_pos_as_xyz
'x,y,z'
'y,-x,-z'
'-x,-y,z'
'-y,x,-z'
'-x,y,z'
'-y,-x,-z'
'x,-y,z'
'y,x,-z'
loop_
_atom_site_label
_atom_site_type_symbol
_atom_site_fract_x
_atom_site_fract_y
_atom_site_fract_z
_atom_site_occupancy
Pr1 Pr 0.000 0.500 0.237 1
Sc1 Sc 0.000 0.000 0.500 1
Ge1 Ge 0.000 0.000 0.000 1
Ge2 Ge 0.000 0.500 0.651 1
Ge3 Ge 0.500 0.500 0.000 1
Pd1 Pd 0.000 0.500 0.876 1
Pd2 Pd 0.500 0.500 0.500 1

---

# Zr2ZnAs2, optimized geometry, DFT PBE
# Final energy ... -62.0 eV per cell
# Size of the total moment ... 0.00 Bohr magnetons per cell
# Theoretical density ... 6.9 g/cm3
data_Zr2ZnAs2
_symmetry_space_group_name_H-M 'P 4/m b m'
_symmetry_Int_Tables_number 127
_symmetry_space_group_name_Hall '-P 4 2ab'
_cell_length_a 7.346
_cell_length_b 7.346
_cell_length_c 3.571
_cell_angle_alpha 90.00
_cell_angle_beta 90.00
_cell_angle_gamma 90.00
loop_
_atom_site_label
_atom_site_type_symbol
_atom_site_fract_x
_atom_site_fract_y
_atom_site_fract_z
_atom_site_occupancy
Zr1 Zr 0.148 0.352 0.000 1
Zn1 Zn 0.000 0.000 0.500 1
As1 As 0.149 0.649 0.500 1

---

# Ba2CrCd, optimized geometry, DFT PBE
# Final energy ... -40.5 eV per cell
# Size of the total moment ... 13.96 Bohr magnetons per cell
# Theoretical density ... 4.1 g/cm3
data_Ba2CrCd
_symmetry_space_group_name_H-M 'R 3 m'
_symmetry_Int_Tables_number 160
_symmetry_space_group_name_Hall 'R 3 -2"'
_cell_length_a 4.9366
_cell_length_b 4.9366
_cell_length_c 25.2850
_cell_angle_alpha 90.00
_cell_angle_beta 90.00
_cell_angle_gamma 120.00
loop_
_atom_site_label
_atom_site_type_symbol
_atom_site_fract_x
_atom_site_fract_y
_atom_site_fract_z
_atom_site_occupancy
Ba1 Ba 0.0000 0.0000 0.0000 1
Ba2 Ba 0.0000 0.0000 0.1774 1
Cr1 Cr 0.0000 0.0000 0.4220 1
Cd1 Cd 0.0000 0.0000 0.7554 1

---

# Ac3Ga2CuPd9, optimized geometry, DFT PBE
# Final energy ... -77.1 eV per cell
# Size of the total moment ... 0.00 Bohr magnetons per cell
# Theoretical density ... 9.3 g/cm3
data_Ac3Ga2CuPd9
_symmetry_space_group_name_H-M 'P -3 m 1'
_symmetry_Int_Tables_number 164
_symmetry_space_group_name_Hall '-P 3 2"'
_cell_length_a 7.3994
_cell_length_b 7.3994
_cell_length_c 6.9057
_cell_angle_alpha 90.00
_cell_angle_beta 90.00
_cell_angle_gamma 120.00
loop_
_atom_site_label
_atom_site_type_symbol
_atom_site_fract_x
_atom_site_fract_y
_atom_site_fract_z
_atom_site_occupancy
Ac1 Ac 0.0000 0.0000 0.0000 1
Ac2 Ac 0.3333 0.6667 0.6628 1
Ga1 Ga 0.3333 0.6667 0.1683 1
Cu1 Cu 0.0000 0.0000 0.5000 1
Pd1 Pd 0.0000 0.5000 0.0000 1
Pd2 Pd 0.1669 0.3338 0.3322 1

---

# Er2FeH, optimized geometry, DFT PBE
# Energy above the lowest structure with this stoichiometry ... 338 meV per atom
# Size of the total moment ... 7.27 Bohr magnetons per cell
# Theoretical density ... 8.6 g/cm3
data_Er2FeH
_symmetry_space_group_name_H-M 'R -3 m'
_symmetry_Int_Tables_number 166
_symmetry_space_group_name_Hall '-R 3 2"'
_cell_length_a 3.2544
_cell_length_b 3.2544
_cell_length_c 24.5839
_cell_angle_alpha 90.00
_cell_angle_beta 90.00
_cell_angle_gamma 120.00
loop_
_atom_site_label
_atom_site_type_symbol
_atom_site_fract_x
_atom_site_fract_y
_atom_site_fract_z
_atom_site_occupancy
Er1 Er 0.0000 0.0000 0.1089 1
Fe1 Fe 0.0000 0.0000 0.0000 1
H1 H 0.0000 0.0000 0.5000 1

---

# KZrAg2, optimized geometry, DFT PBE
# Energy above the lowest structure with this stoichiometry ... 514 meV per atom
# Size of the total moment ... 0.00 Bohr magnetons per cell
# Theoretical density ... 6.6 g/cm3
data_KZrAg2
_symmetry_space_group_name_H-M 'F -4 3 m'
_symmetry_Int_Tables_number 216
_symmetry_space_group_name_Hall 'F -4 2 3'
_cell_length_a 7.050
_cell_length_b 7.050
_cell_length_c 7.050
_cell_angle_alpha 90.00
_cell_angle_beta 90.00
_cell_angle_gamma 90.00
loop_
_atom_site_label
_atom_site_type_symbol
_atom_site_fract_x
_atom_site_fract_y
_atom_site_fract_z
_atom_site_occupancy
K1 K 0.000 0.000 0.000 1
Zr1 Zr 0.250 0.250 0.250 1
Ag1 Ag 0.000 0.000 0.500 1
Ag2 Ag 0.250 0.250 0.750 1

---

# RbSr2TiCl8, optimized geometry, DFT PBE
# Size of the total moment ... 1.00 Bohr magnetons per cell
# Theoretical density ... 2.6 g/cm3
# Formation energy without anion corrections ... -2.036 eV per atom
data_RbSr2TiCl8
_symmetry_space_group_name_H-M 'P 1 2/m 1'
_symmetry_Int_Tables_number 10
_cell_length_a 6.425
_cell_length_b 8.986
_cell_length_c 6.622
_cell_angle_alpha 90.00
_cell_angle_beta 90.46
_cell_angle_gamma 90.00
loop_
_symmetry_equiv_pos_as_xyz
'x,y,z'
'-x,-y,-z'
'-x,y,-z'
'x,-y,z'
loop_
_atom_site_label
_atom_site_type_symbol
_atom_site_fract_x
_atom_site_fract_y
_atom_site_fract_z
_atom_site_occupancy
Rb1 Rb 0.000 0.000 0.000 1
Sr1 Sr 0.500 0.257 0.500 1
Ti1 Ti 0.000 0.500 0.000 1
Cl1 Cl 0.215 0.309 0.157 1
Cl2 Cl 0.244 0.500 0.700 1
Cl3 Cl 0.268 0.000 0.616 1

---

# SrMgW2, optimized geometry, DFT PBE
# Final energy ... -25.7 eV per cell
# Size of the total moment ... 0.00 Bohr magnetons per cell
# Theoretical density ... 9.8 g/cm3
data_SrMgW2
_symmetry_space_group_name_H-M 'P 4 m m'
_symmetry_Int_Tables_number 99
_cell_length_a 2.804
_cell_length_b 2.804
_cell_length_c 10.356
_cell_angle_alpha 90.00
_cell_angle_beta 90.00
_cell_angle_gamma 90.00
loop_
_symmetry_equiv_pos_as_xyz
'x,y,z'
'-y,x,z'
'-x,-y,z'
'y,-x,z'
'-x,y,z'
'y,x,z'
'x,-y,z'
'-y,-x,z'
loop_
_atom_site_label
_atom_site_type_symbol
_atom_site_fract_x
_atom_site_fract_y
_atom_site_fract_z
_atom_site_occupancy
Sr1 Sr 0.000 0.000 0.000 1
Mg1 Mg 0.500 0.500 0.701 1
W1 W 0.000 0.000 0.484 1
W2 W 0.500 0.500 0.265 1

---

# BaSc3Mn, optimized geometry, DFT PBE
# Energy above the lowest structure with this stoichiometry ... 1683 meV per atom
# Size of the total moment ... 0.19 Bohr magnetons per cell
# Theoretical density ... 3.9 g/cm3
data_BaSc3Mn
_symmetry_space_group_name_H-M 'P m -3 m'
_symmetry_Int_Tables_number 221
_symmetry_space_group_name_Hall '-P 4 2 3'
_cell_length_a 5.201
_cell_length_b 5.201
_cell_length_c 5.201
_cell_angle_alpha 90.00
_cell_angle_beta 90.00
_cell_angle_gamma 90.00
loop_
_atom_site_label
_atom_site_type_symbol
_atom_site_fract_x
_atom_site_fract_y
_atom_site_fract_z
_atom_site_occupancy
Ba1 Ba 0.000 0.000 0.000 1
Sc1 Sc 0.000 0.000 0.500 1
Mn1 Mn 0.500 0.500 0.500 1

---

# LiScNi5, optimized geometry, DFT PBE
# Final energy ... -154.1 eV per cell
# Size of the total moment ... 4.80 Bohr magnetons per cell
# Theoretical density ... 6.4 g/cm3
data_LiScNi5
_symmetry_space_group_name_H-M 'P n m a'
_symmetry_Int_Tables_number 62
_cell_length_a 7.743
_cell_length_b 4.713
_cell_length_c 9.815
_cell_angle_alpha 90.00
_cell_angle_beta 90.00
_cell_angle_gamma 90.00
loop_
_symmetry_equiv_pos_as_xyz
'x,y,z'
'-x,-y,-z'
'-x+1/2,-y,z+1/2'
'x+1/2,y,-z+1/2'
'x+1/2,-y+1/2,-z+1/2'
'-x+1/2,y+1/2,z+1/2'
'-x,y+1/2,-z'
'x,-y+1/2,z'
loop_
_atom_site_label
_atom_site_type_symbol
_atom_site_fract_x
_atom_site_fract_y
_atom_site_fract_z
_atom_site_occupancy
Li1 Li 0.132 0.250 0.146 1
Sc1 Sc 0.247 0.750 0.942 1
Ni1 Ni 0.059 0.250 0.906 1
Ni2 Ni 0.072 0.504 0.690 1
Ni3 Ni 0.098 0.750 0.481 1
Ni4 Ni 0.182 0.750 0.249 1

---

# Ca2Ge3AsPt4, optimized geometry, DFT PBE
# Final energy ... -54.4 eV per cell
# Size of the total moment ... 0.00 Bohr magnetons per cell
# Theoretical density ... 9.8 g/cm3
data_Ca2Ge3AsPt4
_symmetry_space_group_name_H-M 'P -4 m 2'
_symmetry_Int_Tables_number 115
_cell_length_a 4.391
_cell_length_b 4.391
_cell_length_c 10.124
_cell_angle_alpha 90.00
_cell_angle_beta 90.00
_cell_angle_gamma 90.00
loop_
_symmetry_equiv_pos_as_xyz
'x,y,z'
'y,-x,-z'
'-x,-y,z'
'-y,x,-z'
'-x,y,z'
'-y,-x,-z'
'x,-y,z'
'y,x,-z'
loop_
_atom_site_label
_atom_site_type_symbol
_atom_site_fract_x
_atom_site_fract_y
_atom_site_fract_z
_atom_site_occupancy
Ca1 Ca 0.000 0.500 0.249 1
Ge1 Ge 0.000 0.000 0.000 1
Ge2 Ge 0.000 0.500 0.626 1
As1 As 0.500 0.500 0.000 1
Pt1 Pt 0.000 0.000 0.500 1
Pt2 Pt 0.000 0.500 0.870 1
Pt3 Pt 0.500 0.500 0.500 1

---

# Nd3Cd, optimized geometry, DFT PBE
# Energy above the lowest structure with this stoichiometry ... 114 meV per atom
# Size of the total moment ... 0.00 Bohr magnetons per cell
# Theoretical density ... 7.3 g/cm3
data_Nd3Cd
_symmetry_space_group_name_H-M 'F m -3 m'
_symmetry_Int_Tables_number 225
_symmetry_space_group_name_Hall '-F 4 2 3'
_cell_length_a 7.933
_cell_length_b 7.933
_cell_length_c 7.933
_cell_angle_alpha 90.00
_cell_angle_beta 90.00
_cell_angle_gamma 90.00
loop_
_atom_site_label
_atom_site_type_symbol
_atom_site_fract_x
_atom_site_fract_y
_atom_site_fract_z
_atom_site_occupancy
Nd1 Nd 0.000 0.000 0.000 1
Nd2 Nd 0.250 0.250 0.250 1
Cd1 Cd 0.000 0.000 0.500 1